Nd2CrBiO6: relaxed, PBE+U.

abc: 5.5037 5.5037 5.3019
angles: 90.00 90.00 90.00
With the nearest neighbours (Å) after each atom.
Positions (direct):
Nd  0.0000  0.5000  0.0000  4 O 2.37
Nd  0.5000  0.0000  0.0000  4 O 2.37
Cr  0.0000  0.0000  0.6152  5 O 1.96-1.98
Bi  0.5000  0.5000  0.5587  5 O 2.26-2.28
O  0.0000  0.0000  0.2455  1 Cr 1.96
O  0.2380  0.2380  0.7447  1 Cr 1.98
O  0.2380  0.7620  0.7447  1 Cr 1.98
O  0.5000  0.5000  0.1279  1 Bi 2.28
O  0.7620  0.2380  0.7447  1 Cr 1.98
O  0.7620  0.7620  0.7447  1 Cr 1.98

## Properties
total DFT energy (no corrections)	-7.2745	eV/atom